## Ac12Rh3N5 (PBE)

Data for a relaxed Ac12Rh3N5 crystal.

Summary:
SG	Ia-3d, No. 230
theoretical density	8.84	Mg/m³
E	-6.326	eV/atom
calculated volume	29.1	A^3/atom

a = 14.4669 Å, b = 14.4669 Å, c = 14.4669 Å
α = 109.47°, β = 109.47°, γ = 109.47°
Fractional positions:
N 0.3750 0.1250 0.7500
N 0.0000 0.5000 0.0000
N 0.2500 0.3750 0.6250
N 0.1250 0.3750 0.2500
N 0.5000 0.0000 0.0000
N 0.7500 0.1250 0.8750
N 0.5000 0.5000 0.5000
N 0.8750 0.2500 0.6250
N 0.0000 0.5000 0.5000
N 0.5000 0.0000 0.5000
N 0.2500 0.8750 0.1250
N 0.8750 0.6250 0.7500
N 0.7500 0.6250 0.3750
N 0.3750 0.2500 0.1250
N 0.0000 0.0000 0.0000
N 0.1250 0.7500 0.3750
N 0.6250 0.7500 0.8750
N 0.5000 0.5000 0.0000
N 0.6250 0.8750 0.2500
N 0.0000 0.0000 0.5000
Ac 0.2055 0.6817 0.0852
Ac 0.3797 0.4035 0.0852
Ac 0.2055 0.5238 0.6203
Ac 0.1817 0.0965 0.9762
Ac 0.6817 0.4762 0.5965
Ac 0.9762 0.3797 0.2945
Ac 0.4148 0.2945 0.3183
Ac 0.0852 0.1817 0.2055
Ac 0.5965 0.6203 0.4148
Ac 0.4035 0.3797 0.5852
Ac 0.0965 0.1817 0.4762
Ac 0.1203 0.7055 0.5238
Ac 0.8797 0.5852 0.9035
Ac 0.5965 0.9762 0.6817
Ac 0.7945 0.4762 0.3797
Ac 0.5852 0.8797 0.4035
Ac 0.8183 0.9035 0.0238
Ac 0.7945 0.3183 0.9148
Ac 0.6203 0.5965 0.9148
Ac 0.7055 0.1203 0.0238
Ac 0.1817 0.0852 0.7055
Ac 0.5238 0.2055 0.1203
Ac 0.2945 0.8797 0.9762
Ac 0.8797 0.2945 0.4762
Ac 0.5852 0.7055 0.6817
Ac 0.4762 0.7945 0.8797
Ac 0.0238 0.6203 0.7055
Ac 0.3183 0.7945 0.4148
Ac 0.0852 0.9035 0.3797
Ac 0.0238 0.4035 0.8183
Ac 0.3183 0.5238 0.4035
Ac 0.9035 0.0852 0.8797
Ac 0.3797 0.9762 0.7945
Ac 0.0965 0.9148 0.1203
Ac 0.8183 0.9148 0.2945
Ac 0.5238 0.3183 0.9035
Ac 0.7055 0.5852 0.1817
Ac 0.1203 0.4148 0.0965
Ac 0.9035 0.8183 0.5238
Ac 0.4035 0.0238 0.3183
Ac 0.6203 0.0238 0.2055
Ac 0.4148 0.1203 0.5965
Ac 0.6817 0.2055 0.5852
Ac 0.9148 0.0965 0.6203
Ac 0.4762 0.6817 0.0965
Ac 0.9762 0.5965 0.1817
Ac 0.2945 0.4148 0.8183
Ac 0.9148 0.8183 0.7945
Rh 0.3750 0.6250 0.2500
Rh 0.8750 0.7500 0.1250
Rh 0.2500 0.1250 0.3750
Rh 0.1250 0.8750 0.7500
Rh 0.7500 0.8750 0.6250
Rh 0.3750 0.7500 0.6250
Rh 0.6250 0.2500 0.3750
Rh 0.8750 0.1250 0.2500
Rh 0.6250 0.3750 0.7500
Rh 0.7500 0.3750 0.1250
Rh 0.1250 0.2500 0.8750
Rh 0.2500 0.6250 0.8750